# InBrF2, optimized geometry, DFT GGA-PBE
# **Distance to the lowest polymorph of the same formula**: 2.70 eV per formula unit
# **DOS(E_F)**: 9.19 states/eV/cell
# **M_tot**: 0.0 μB per cell
data_InBrF2
_symmetry_space_group_name_H-M 'R -3 m'
_symmetry_Int_Tables_number 166
_symmetry_space_group_name_Hall '-R 3 2"'
_cell_length_a 3.2394
_cell_length_b 3.2394
_cell_length_c 29.9947
_cell_angle_alpha 90.00
_cell_angle_beta 90.00
_cell_angle_gamma 120.00
loop_
_atom_site_label
_atom_site_fract_x
_atom_site_fract_y
_atom_site_fract_z
In1 0.0000 0.0000 0.0000
Br1 0.0000 0.0000 0.5000
F1 0.0000 0.0000 0.0663